Below is an optimized crystal structure of TlCuSi3, with properties calculated at the PBE-GGA level.

Values from the calculation:
Total magnetic moment (μB/atom): 0.00
Relative energy among the computed polymorphs (meV per atom): 0
Symmetry: Pm-3m

abc: 4.660 4.660 4.660
angles: 90.00 90.00 90.00
Element x y z (fractional)
Tl (0.500, 0.500, 0.500)
Si (0.000, 0.500, 0.000)
Si (0.000, 0.000, 0.500)
Si (0.500, 0.000, 0.000)
Cu (0.000, 0.000, 0.000)